Entry 1:
## Li3La2CdNi12 (PBE)

Data for an optimized crystal structure of Li3La2CdNi12.

a = 9.308 Å, b = 9.308 Å, c = 9.308 Å
α = 38.81°, β = 38.81°, γ = 38.81°
Sites, in units of the cell vectors:
Li 0.500 0.000 0.000
Li 0.000 0.500 0.000
Li 0.000 0.000 0.500
La 0.637 0.637 0.637
La 0.363 0.363 0.363
Cd 0.000 0.000 0.000
Ni 0.417 0.417 0.795
Ni 0.866 0.866 0.475
Ni 0.475 0.866 0.866
Ni 0.795 0.417 0.417
Ni 0.866 0.475 0.866
Ni 0.417 0.795 0.417
Ni 0.583 0.583 0.205
Ni 0.134 0.134 0.525
Ni 0.525 0.134 0.134
Ni 0.205 0.583 0.583
Ni 0.134 0.525 0.134
Ni 0.583 0.205 0.583

Properties
The total energy comes out at -4.624 eV per atom. As for the energy of formation: 148 meV/atom. The theoretical density is 6.50 g/cm3.

***

Entry 2:
## Ho4Cd5Ru2 (PBE)

Data for an optimized crystal structure of Ho4Cd5Ru2.

a = 3.503 Å, b = 7.723 Å, c = 9.688 Å
α = 94.64°, β = 90.00°, γ = 90.00°
Sites, in units of the cell vectors:
Ho 0.500 0.788 0.551
Ho 0.500 0.166 0.856
Ho 0.500 0.212 0.449
Ho 0.500 0.834 0.144
Cd 0.000 0.550 0.321
Cd 0.000 0.191 0.158
Cd 0.000 0.500 0.000
Cd 0.000 0.809 0.842
Cd 0.000 0.450 0.679
Ru 0.000 0.074 0.646
Ru 0.000 0.926 0.354

Properties
The total energy comes out at -4.082 eV per atom. As for the energy of formation: -314 meV/atom. The theoretical density is 9.05 g/cm3.

***

Entry 3:
## CaBiPS2 (PBE)

Data for an optimized crystal structure of CaBiPS2.

a = 5.230 Å, b = 5.230 Å, c = 5.217 Å
α = 90.00°, β = 90.00°, γ = 90.00°
Sites, in units of the cell vectors:
S 0.000 0.500 0.000
S 0.500 0.000 0.000
P 0.000 0.000 0.500
Ca 0.500 0.500 0.500
Bi 0.000 0.000 0.000

Properties
The total energy comes out at -3.940 eV per atom. The theoretical density is 4.00 g/cm3. Its distance to the lowest polymorph of the same formula is 0.0000 eV per atom. The calculation puts the formation energy without anion corrections at -0.03 eV/atom.